First-principles (PBE+U) data for a relaxed TaFe2IrF crystal, as listed in the Alexandria database.

Fermi-level density of states ... 0.55 states/eV/atom
Energy ... -6.6429 eV per atom

abc: 4.1376 4.1376 4.2442
angles: 90.00 90.00 90.00
Fractional coordinates of all 5 atoms:
Ta 0.0000 0.0000 0.0000
Fe 0.0000 0.5000 0.5000
Fe 0.5000 0.0000 0.5000
Ir 0.5000 0.5000 0.0000
F 0.0000 0.0000 0.5000